Entry 1:
Computed, not measured: a relaxed structure of CdCuTe at the GGA-PBEsol level of DFT.

Cell and atoms, written as CIF:
```
data_CdCuTe
_symmetry_space_group_name_H-M 'F -4 3 m'
_symmetry_Int_Tables_number 216
_symmetry_space_group_name_Hall 'F -4 2 3'
_cell_length_a 6.558
_cell_length_b 6.558
_cell_length_c 6.558
_cell_angle_alpha 90.00
_cell_angle_beta 90.00
_cell_angle_gamma 90.00
loop_
_atom_site_label
_atom_site_fract_x
_atom_site_fract_y
_atom_site_fract_z
Cd1 0.000 0.000 0.000
Cu1 0.250 0.250 0.750
Te1 0.250 0.250 0.250
```

Summary:
- V (A^3/atom) = 23.51
- total magnetic moment (μB per formula unit) = 0.0
- raw formation energy (eV per atom) = 0.34

---

Entry 2:
Computed, not measured: a relaxed structure of CdCuTe2 at the GGA-PBEsol level of DFT.

Cell and atoms, written as CIF:
```
data_CdCuTe2
_symmetry_space_group_name_H-M 'I -4 2 d'
_symmetry_Int_Tables_number 122
_symmetry_space_group_name_Hall 'I -4 2bw'
_cell_length_a 6.172
_cell_length_b 6.172
_cell_length_c 12.050
_cell_angle_alpha 90.00
_cell_angle_beta 90.00
_cell_angle_gamma 90.00
loop_
_atom_site_label
_atom_site_fract_x
_atom_site_fract_y
_atom_site_fract_z
Cd1 0.000 0.000 0.000
Cu1 0.000 0.000 0.500
Te1 0.211 0.250 0.625
```

Summary:
- V (A^3/atom) = 28.69
- total magnetic moment (μB per formula unit) = 0.0
- raw formation energy (eV per atom) = -0.14

---

Entry 3:
Computed, not measured: a relaxed structure of TiCd2Cu at the GGA-PBEsol level of DFT.

Cell and atoms, written as CIF:
```
data_TiCd2Cu
_symmetry_space_group_name_H-M 'F m -3 m'
_symmetry_Int_Tables_number 225
_symmetry_space_group_name_Hall '-F 4 2 3'
_cell_length_a 6.424
_cell_length_b 6.424
_cell_length_c 6.424
_cell_angle_alpha 90.00
_cell_angle_beta 90.00
_cell_angle_gamma 90.00
loop_
_atom_site_label
_atom_site_fract_x
_atom_site_fract_y
_atom_site_fract_z
Ti1 0.000 0.000 0.000
Cd1 0.250 0.250 0.250
Cu1 0.000 0.000 0.500
```

Summary:
- formation energy (eV per atom) = 0.09
- V (A^3/atom) = 16.57
- total magnetic moment (μB per formula unit) = 0.0

---

Entry 4:
Computed, not measured: a relaxed structure of TiCd3Cu at the GGA-PBEsol level of DFT.

Cell and atoms, written as CIF:
```
data_TiCd3Cu
_symmetry_space_group_name_H-M 'P m -3 m'
_symmetry_Int_Tables_number 221
_symmetry_space_group_name_Hall '-P 4 2 3'
_cell_length_a 4.750
_cell_length_b 4.750
_cell_length_c 4.750
_cell_angle_alpha 90.00
_cell_angle_beta 90.00
_cell_angle_gamma 90.00
loop_
_atom_site_label
_atom_site_fract_x
_atom_site_fract_y
_atom_site_fract_z
Ti1 0.000 0.000 0.000
Cd1 0.000 0.500 0.500
Cu1 0.500 0.500 0.500
```

Summary:
- formation energy (eV per atom) = 0.56
- V (A^3/atom) = 21.43
- total magnetic moment (μB per formula unit) = 1.6

---

- V of number 2 (CdCuTe2)?
  28.69 A^3/atom

---

- Look up the V of the second one.
  28.69 A^3/atom